Entry 1:
# ThAgSb (PBE, optimized geometry)
data_ThAgSb
_cell_length_a 4.6604
_cell_length_b 4.6604
_cell_length_c 4.1698
_cell_angle_alpha 90.00
_cell_angle_beta 90.00
_cell_angle_gamma 120.00
_space_group_name_H-M_alt 'P 3 m 1'
_space_group_IT_number 156
_space_group_name_Hall 'P 3 -2"'
loop_
_atom_site_label
_atom_site_fract_x
_atom_site_fract_y
_atom_site_fract_z
Th1 0.0000 0.0000 0.0000
Ag1 0.3333 0.6667 0.6206
Sb1 0.6667 0.3333 0.4665
# - Total magnetization: 0.000 μB per formula unit
# - Uncorrected formation energy: -0.481 eV per atom
# - Volume: 78 Å³/cell



Entry 2:
# Th2AgSb (PBE, optimized geometry)
data_Th2AgSb
_cell_length_a 5.1392
_cell_length_b 5.1392
_cell_length_c 4.1635
_cell_angle_alpha 90.00
_cell_angle_beta 90.00
_cell_angle_gamma 90.00
_space_group_name_H-M_alt 'P 4/m m m'
_space_group_IT_number 123
_space_group_name_Hall '-P 4 2'
loop_
_atom_site_label
_atom_site_fract_x
_atom_site_fract_y
_atom_site_fract_z
Th1 0.0000 0.5000 0.0000
Ag1 0.0000 0.0000 0.5000
Sb1 0.5000 0.5000 0.5000
# - Total magnetization: 0.000 μB per formula unit
# - Uncorrected formation energy: -0.417 eV per atom
# - Volume: 110 Å³/cell



Entry 3:
# ThAg2Sb2 (PBE, optimized geometry)
data_ThAg2Sb2
_cell_length_a 4.3542
_cell_length_b 25.3674
_cell_length_c 4.4095
_cell_angle_alpha 90.00
_cell_angle_beta 90.00
_cell_angle_gamma 90.00
_space_group_name_H-M_alt 'C m c m'
_space_group_IT_number 63
_space_group_name_Hall '-C 2c 2'
loop_
_atom_site_label
_atom_site_fract_x
_atom_site_fract_y
_atom_site_fract_z
Th1 0.0000 0.1514 0.2500
Ag1 0.0000 0.0380 0.7500
Ag2 0.0000 0.4605 0.7500
Sb1 0.0000 0.2500 0.7500
Sb2 0.0000 0.3836 0.2500
# - Total magnetization: 0.000 μB per formula unit
# - Uncorrected formation energy: -0.460 eV per atom
# - Volume: 487 Å³/cell



Entry 4:
# Th2AgSb (PBE, optimized geometry)
data_Th2AgSb
_cell_length_a 6.3233
_cell_length_b 4.3442
_cell_length_c 8.8152
_cell_angle_alpha 90.00
_cell_angle_beta 110.08
_cell_angle_gamma 90.00
_space_group_name_H-M_alt 'P 1 21/m 1'
_space_group_IT_number 11
_space_group_name_Hall '-P 2yb'
loop_
_atom_site_label
_atom_site_fract_x
_atom_site_fract_y
_atom_site_fract_z
Th1 0.2044 0.2500 0.4358
Th2 0.2102 0.2500 0.9186
Ag1 0.3454 0.7500 0.7104
Sb1 0.3333 0.7500 0.2077
# - Total magnetization: 0.000 μB per formula unit
# - Uncorrected formation energy: -0.446 eV per atom
# - Volume: 227 Å³/cell



Entry 5:
# ThAgSb2 (PBE, optimized geometry)
data_ThAgSb2
_cell_length_a 4.4878
_cell_length_b 4.4878
_cell_length_c 26.9713
_cell_angle_alpha 90.00
_cell_angle_beta 90.00
_cell_angle_gamma 120.00
_space_group_name_H-M_alt 'R -3 m'
_space_group_IT_number 166
_space_group_name_Hall '-R 3 2"'
loop_
_atom_site_label
_atom_site_fract_x
_atom_site_fract_y
_atom_site_fract_z
Th1 0.0000 0.0000 0.0000
Ag1 0.0000 0.0000 0.5000
Sb1 0.0000 0.0000 0.4016
# - Total magnetization: 0.000 μB per formula unit
# - Uncorrected formation energy: -0.028 eV per atom
# - Volume: 470 Å³/cell



Entry 6:
# TiAg3Sb (PBE, optimized geometry)
data_TiAg3Sb
_cell_length_a 5.1483
_cell_length_b 5.1483
_cell_length_c 5.1483
_cell_angle_alpha 90.00
_cell_angle_beta 90.00
_cell_angle_gamma 90.00
_space_group_name_H-M_alt 'P m -3 m'
_space_group_IT_number 221
_space_group_name_Hall '-P 4 2 3'
loop_
_atom_site_label
_atom_site_fract_x
_atom_site_fract_y
_atom_site_fract_z
Ti1 0.0000 0.0000 0.0000
Ag1 0.0000 0.5000 0.5000
Sb1 0.5000 0.5000 0.5000
# - Distance to the lowest polymorph of the same formula: 0.0000 eV per atom
# - Total magnetization: 3.070 μB per formula unit
# - Uncorrected formation energy: 0.876 eV per atom
# - Volume: 136 Å³/cell